1.
Computed, not measured: ThTl2B2O6 after structural relaxation at the GGA-PBE level of DFT.

```
ThTl2B2O6
1.0
4.861 -2.807 0.000
4.861 2.807 0.000
-3.250 0.000 6.678
Th Tl B O
1 2 2 6
direct
0.000 0.000 0.000
0.211 0.211 0.635
0.789 0.789 0.365
0.403 0.403 0.208
0.597 0.597 0.792
0.260 0.260 0.207
0.260 0.688 0.208
0.312 0.740 0.792
0.688 0.260 0.208
0.740 0.312 0.792
0.740 0.740 0.793
```

Properties
Crystal system   monoclinic
Symmetry   C2/m, No. 12
Spin magnetization   0.0 μB per cell
Raw formation energy   -2.36 eV per atom

***

2.
Computed, not measured: ThZnBO5 after structural relaxation at the GGA-PBE level of DFT.

```
ThZnBO5
1.0
3.317 -4.409 0.000
3.317 4.409 0.000
-1.772 0.000 6.205
Th Zn B O
2 2 2 10
direct
0.148 0.852 0.750
0.852 0.148 0.250
0.500 0.500 0.000
0.500 0.500 0.500
0.195 0.805 0.250
0.805 0.195 0.750
0.037 0.224 0.922
0.163 0.582 0.357
0.224 0.037 0.422
0.402 0.598 0.750
0.418 0.837 0.143
0.582 0.163 0.857
0.598 0.402 0.250
0.776 0.963 0.578
0.837 0.418 0.643
0.963 0.776 0.078
```

Properties
Crystal system   monoclinic
Symmetry   C2/c, No. 15
Spin magnetization   0.0 μB per cell
Raw formation energy   -2.38 eV per atom

***

| no. | density of states at the Fermi level (states/eV per atom) |
| --- | --- |
| 1 | 0.0000 |
| 2 | 0.5046 |